An optimized crystal structure of Sm5Er6Th2, computed with PBE-GGA.

The calculation puts the formation energy at 0.11 eV per atom. The calculation puts the total magnetization at 0.00 Bohr magnetons per cell.

abc: 3.5646 11.4882 20.8106
angles: 90.00 90.00 90.00
Fractional positions:
Sm 0.5000 0.9338 0.7940
Sm 0.5000 0.3087 0.4226
Sm 0.5000 0.0000 0.5000
Sm 0.5000 0.5000 0.0000
Sm 0.5000 0.5662 0.2940
Sm 0.5000 0.1913 0.9226
Sm 0.5000 0.6913 0.5774
Sm 0.5000 0.0662 0.2060
Sm 0.5000 0.4338 0.7060
Sm 0.5000 0.8087 0.0774
Er 0.0000 0.4201 0.5628
Er 0.0000 0.5627 0.1475
Er 0.5000 0.8137 0.3772
Er 0.5000 0.3137 0.1228
Er 0.0000 0.0627 0.3525
Er 0.0000 0.9373 0.6475
Er 0.0000 0.5799 0.4372
Er 0.5000 0.1863 0.6228
Er 0.0000 0.4373 0.8525
Er 0.0000 0.0799 0.0628
Er 0.5000 0.6863 0.8772
Er 0.0000 0.9201 0.9372
Th 0.0000 0.8122 0.2360
Th 0.0000 0.6878 0.7360
Th 0.0000 0.1878 0.7640
Th 0.0000 0.3122 0.2640

---

An optimized crystal structure of SmErTh, computed with PBE-GGA.

The calculation puts the formation energy at 0.38 eV per atom. The distance to the lowest polymorph of the same formula is 349 meV/atom. The calculation puts the total magnetization at 0.00 Bohr magnetons per cell.

abc: 6.8182 6.7905 10.8696
angles: 81.29 108.37 118.98
Fractional positions:
Th 0.5328 0.7507 0.0642
Th 0.9670 0.7493 0.9354
Th 0.4672 0.2493 0.9358
Th 0.0330 0.2507 0.0646
Sm 0.7504 0.7500 0.5007
Sm 0.2496 0.2500 0.4993
Sm 0.7500 0.2500 0.5000
Sm 0.2500 0.7500 0.5000
Er 0.1394 0.5002 0.7776
Er 0.6390 0.0009 0.7776
Er 0.8606 0.4998 0.2224
Er 0.3610 0.9991 0.2224

---

An optimized crystal structure of Sm10ErTh4, computed with PBE-GGA.

The calculation puts the formation energy at 0.38 eV per atom. The calculation puts the total magnetization at 0.00 Bohr magnetons per cell.

abc: 10.7632 8.7824 8.7824
angles: 67.95 52.21 52.21
Fractional positions:
Sm 0.2246 0.3278 0.9054
Sm 0.4475 0.0946 0.3278
Sm 0.5525 0.9054 0.6722
Sm 0.4579 0.6722 0.0946
Sm 0.5421 0.3278 0.9054
Sm 0.7500 0.5000 0.5000
Sm 0.2500 0.5000 0.5000
Sm 0.7754 0.6722 0.0946
Sm 0.1301 0.0946 0.3278
Sm 0.8699 0.9054 0.6722
Th 0.9397 0.3955 0.7251
Th 0.3352 0.7251 0.6045
Th 0.0603 0.6045 0.2749
Th 0.6648 0.2749 0.3955
Er 0.0000 0.0000 0.0000

---

An optimized crystal structure of Sm5ErTh, computed with PBE-GGA.

The calculation puts the formation energy at 0.22 eV per atom. The calculation puts the total magnetization at 0.00 Bohr magnetons per cell.

abc: 6.9956 10.1767 8.5229
angles: 42.83 46.30 37.27
Fractional positions:
Sm 0.8012 0.5202 0.9068
Sm 0.3443 0.9070 0.5205
Sm 0.6557 0.0930 0.4795
Sm 0.5000 0.0000 0.0000
Sm 0.1988 0.4798 0.0932
Th 0.0000 0.0000 0.0000
Er 0.5000 0.5000 0.5000

---

An optimized crystal structure of Sm3Er2Th2, computed with PBE-GGA.

The calculation puts the formation energy at 0.03 eV per atom. The distance to the lowest polymorph of the same formula is 0 meV/atom. The calculation puts the total magnetization at 0.00 Bohr magnetons per cell.

abc: 3.5975 11.3312 6.1613
angles: 79.65 72.99 71.51
Fractional positions:
Er 0.2907 0.2824 0.8530
Er 0.7093 0.7176 0.1470
Th 0.8581 0.8595 0.5666
Th 0.1419 0.1405 0.4334
Sm 0.4331 0.4241 0.2844
Sm 0.0000 0.0000 0.0000
Sm 0.5669 0.5759 0.7156

---

An optimized crystal structure of SmEr2Th, computed with PBE-GGA.

The calculation puts the formation energy at 0.02 eV per atom. The distance to the lowest polymorph of the same formula is 22 meV/atom. The calculation puts the total magnetization at 0.00 Bohr magnetons per cell.

abc: 3.5679 3.5679 11.6630
angles: 81.20 81.20 60.00
Fractional positions:
Er 0.2518 0.2518 0.2445
Er 0.7482 0.7482 0.7555
Th 0.0000 0.0000 0.0000
Sm 0.5000 0.5000 0.5000

---

An optimized crystal structure of Sm4Er3Th2, computed with PBE-GGA.

The calculation puts the formation energy at 0.07 eV per atom. The distance to the lowest polymorph of the same formula is 0 meV/atom. The calculation puts the total magnetization at 0.00 Bohr magnetons per cell.

abc: 3.5676 3.5676 26.7446
angles: 90.00 90.00 120.00
Fractional positions:
Th 0.6667 0.3333 0.0894
Th 0.6667 0.3333 0.8725
Er 0.6667 0.3333 0.6525
Er 0.0000 0.0000 0.9815
Er 0.0000 0.0000 0.3242
Sm 0.0000 0.0000 0.7614
Sm 0.6667 0.3333 0.4323
Sm 0.6667 0.3333 0.2182
Sm 0.0000 0.0000 0.5452

---

An optimized crystal structure of Sm3Er2Th2, computed with PBE-GGA.

The calculation puts the formation energy at 0.14 eV per atom. The distance to the lowest polymorph of the same formula is 107 meV/atom. The calculation puts the total magnetization at 0.00 Bohr magnetons per cell.

abc: 3.4688 8.6362 8.9637
angles: 119.28 101.16 90.00
Fractional positions:
Sm 0.2151 0.7959 0.4303
Sm 0.0000 0.5000 0.0000
Sm 0.7849 0.2041 0.5697
Th 0.8494 0.6594 0.6987
Th 0.1506 0.3406 0.3013
Er 0.4368 0.0929 0.8736
Er 0.5632 0.9071 0.1264

---

An optimized crystal structure of SmErTh, computed with PBE-GGA.

The calculation puts the formation energy at 0.14 eV per atom. The distance to the lowest polymorph of the same formula is 114 meV/atom. The calculation puts the total magnetization at 0.00 Bohr magnetons per cell.

abc: 3.4970 3.4970 18.5504
angles: 90.00 90.00 120.00
Fractional positions:
Er 0.0000 0.0000 0.4995
Er 0.0000 0.0000 0.9995
Th 0.6667 0.3333 0.6578
Th 0.3333 0.6667 0.1578
Sm 0.6667 0.3333 0.8427
Sm 0.3333 0.6667 0.3427

---

An optimized crystal structure of Sm4Er2Th, computed with PBE-GGA.

The calculation puts the formation energy at 0.31 eV per atom. The distance to the lowest polymorph of the same formula is 272 meV/atom. The calculation puts the total magnetization at 0.00 Bohr magnetons per cell.

abc: 6.7412 9.0110 9.0110
angles: 79.55 68.03 68.03
Fractional positions:
Er 0.5000 0.5000 0.5000
Er 0.2785 0.9715 0.4715
Er 0.7215 0.0285 0.5285
Er 0.5000 0.0000 0.0000
Th 0.5000 0.5000 0.0000
Th 0.0000 0.5000 0.0000
Sm 0.7888 0.2374 0.7374
Sm 0.7636 0.7626 0.2626
Sm 0.8464 0.6501 0.6570
Sm 0.2112 0.7626 0.2626
Sm 0.1536 0.8430 0.8499
Sm 0.8464 0.1570 0.1501
Sm 0.2364 0.2374 0.7374
Sm 0.1536 0.3499 0.3430